Record 1
A plane-wave DFT calculation with PBE was carried out for a relaxed LiTmLuHg crystal.

Values from the calculation:
The calculation puts the density of states at the Fermi level at 0.874 states/eV per atom. As for the density: 9.57 Mg/m³. Its raw total energy is -12.072 eV per cell. The formation energy is -0.2159 eV/atom.

```
LiTmLuHg
1.0
5.134 0.000 0.000
2.567 4.446 0.000
2.567 1.482 4.192
Lu Tm Hg Li
1 1 1 1
Direct
0.750 0.750 0.750
0.250 0.250 0.250
0.500 0.500 0.500
0.000 0.000 0.000
```

=====

Record 2
A plane-wave DFT calculation with PBE was carried out for a relaxed LiLuZnHg crystal.

Values from the calculation:
The calculation puts the density of states at the Fermi level at 0.455 states/eV per atom. As for the density: 9.32 Mg/m³. Its raw total energy is -9.269 eV per cell. The formation energy is -0.3147 eV/atom.

```
LiLuZnHg
1.0
-0.936 -0.615 4.702
-4.228 -1.881 1.397
-0.164 -4.455 1.869
Zn Lu Hg Li
1 1 1 1
Direct
0.000 0.000 0.000
0.750 0.750 0.750
0.500 0.500 0.500
0.250 0.250 0.250
```

=====

Record 3
A plane-wave DFT calculation with PBE was carried out for a relaxed Li4MgHg2 crystal.

Values from the calculation:
The calculation puts the density of states at the Fermi level at 0.324 states/eV per atom. As for the density: 5.56 Mg/m³. Its raw total energy is -22.789 eV per cell. The formation energy is -0.2201 eV/atom.

```
Li4MgHg2
1.0
-5.945 -2.169 3.919
1.926 -5.017 0.145
5.870 2.370 4.041
Li Mg Hg
8 2 4
Direct
0.569 0.496 0.216
0.061 0.750 0.849
0.939 0.250 0.151
0.569 0.004 0.216
0.060 0.250 0.563
0.431 0.996 0.784
0.431 0.504 0.784
0.940 0.750 0.437
0.226 0.750 0.281
0.774 0.250 0.719
0.788 0.750 0.033
0.212 0.250 0.967
0.350 0.250 0.429
0.650 0.750 0.571
```

=====

Record 4
A plane-wave DFT calculation with PBE was carried out for a relaxed Li3Mg10Hg3 crystal.

Values from the calculation:
The calculation puts the density of states at the Fermi level at 0.473 states/eV per atom. As for the density: 4.21 Mg/m³. Its raw total energy is -24.504 eV per cell. The formation energy is -0.1195 eV/atom.

```
Li3Mg10Hg3
1.0
5.704 0.000 0.000
0.000 7.203 -4.158
0.000 0.000 8.317
Li Mg Hg
3 10 3
Direct
0.500 0.000 0.414
0.500 0.414 0.000
0.500 0.586 0.586
0.250 0.667 0.333
0.250 0.333 0.667
0.750 0.333 0.667
0.750 0.667 0.333
0.500 0.000 0.773
0.500 0.773 0.000
0.500 0.227 0.227
0.000 0.000 0.239
0.000 0.239 0.000
0.000 0.761 0.761
0.000 0.000 0.601
0.000 0.601 0.000
0.000 0.399 0.399
```